The following is a PBEsol calculation of a relaxed structure of Sc, from Alexandria via LeMat-Bulk.

abc: 5.031 5.031 3.190
angles: 90.00 90.00 120.00
Fractional coordinates of all 3 atoms:
Sc: 0.000 0.000 0.000
Sc: 0.333 0.667 0.500
Sc: 0.667 0.333 0.500

Computed properties:
Energy relative to the lowest polymorph listed for this composition = 57.9 meV per atom
Formation energy = 57.9 meV/atom


The following is a PBEsol calculation of a relaxed structure of Sc, from Alexandria via LeMat-Bulk.

abc: 3.134 3.134 3.134
angles: 109.47 109.47 109.47
Fractional coordinates of all 1 atoms:
Sc: 0.000 0.000 0.000

Computed properties:
Energy relative to the lowest polymorph listed for this composition = 112.1 meV per atom
Formation energy = 112.1 meV/atom


The following is a PBEsol calculation of a relaxed structure of Sc, from Alexandria via LeMat-Bulk.

abc: 3.211 3.211 3.211
angles: 60.00 60.00 60.00
Fractional coordinates of all 1 atoms:
Sc: 0.000 0.000 0.000

Computed properties:
Energy relative to the lowest polymorph listed for this composition = 46.1 meV per atom
Formation energy = 46.1 meV/atom


The following is a PBEsol calculation of a relaxed structure of Sc, from Alexandria via LeMat-Bulk.

abc: 3.272 3.272 5.070
angles: 90.00 90.00 120.00
Fractional coordinates of all 2 atoms:
Sc: 0.333 0.667 0.250
Sc: 0.667 0.333 0.750

Computed properties:
Energy relative to the lowest polymorph listed for this composition = 0.0 meV per atom
Formation energy = 0.0 meV/atom


The following is a PBEsol calculation of a relaxed structure of Sc2Se3, from Alexandria via LeMat-Bulk.

abc: 3.820 3.820 9.491
angles: 90.00 90.00 120.00
Fractional coordinates of all 5 atoms:
Sc: 0.333 0.667 0.315
Sc: 0.667 0.333 0.685
Se: 0.000 0.000 0.500
Se: 0.333 0.667 0.827
Se: 0.667 0.333 0.173

Computed properties:
Formation energy from raw total energies = -1.655 eV per atom


The following is a PBEsol calculation of a relaxed structure of Sc2Se3, from Alexandria via LeMat-Bulk.

abc: 6.680 6.680 6.680
angles: 147.21 132.88 58.59
Fractional coordinates of all 5 atoms:
Sc: 0.163 0.163 0.000
Sc: 0.837 0.837 0.000
Se: 0.000 0.500 0.500
Se: 0.325 0.825 0.500
Se: 0.675 0.175 0.500

Computed properties:
Formation energy from raw total energies = -1.697 eV per atom


The following is a PBEsol calculation of a relaxed structure of ScSe, from Alexandria via LeMat-Bulk.

abc: 6.620 6.620 3.686
angles: 90.00 90.00 147.72
Fractional coordinates of all 4 atoms:
Sc: 0.167 0.833 0.750
Sc: 0.833 0.167 0.250
Se: 0.379 0.621 0.750
Se: 0.621 0.379 0.250

Computed properties:
Formation energy from raw total energies = -1.574 eV per atom


The following is a PBEsol calculation of a relaxed structure of Sc2Se3, from Alexandria via LeMat-Bulk.

abc: 9.554 9.554 9.554
angles: 23.03 23.03 23.03
Fractional coordinates of all 5 atoms:
Sc: 0.104 0.104 0.104
Sc: 0.896 0.896 0.896
Se: 0.278 0.278 0.278
Se: 0.500 0.500 0.500
Se: 0.722 0.722 0.722

Computed properties:
Formation energy from raw total energies = -1.659 eV per atom


The following is a PBEsol calculation of a relaxed structure of Sc2Se3, from Alexandria via LeMat-Bulk.

abc: 12.577 11.996 6.573
angles: 79.43 69.66 30.92
Fractional coordinates of all 20 atoms:
Sc: 0.042 0.042 0.208
Sc: 0.126 0.126 0.624
Sc: 0.208 0.208 0.042
Sc: 0.376 0.376 0.874
Sc: 0.624 0.624 0.126
Sc: 0.792 0.792 0.958
Sc: 0.874 0.874 0.376
Sc: 0.958 0.958 0.792
Se: 0.044 0.541 0.205
Se: 0.125 0.625 0.625
Se: 0.205 0.710 0.044
Se: 0.290 0.795 0.459
Se: 0.375 0.875 0.875
Se: 0.459 0.956 0.290
Se: 0.541 0.044 0.710
Se: 0.625 0.125 0.125
Se: 0.710 0.205 0.541
Se: 0.795 0.290 0.956
Se: 0.875 0.375 0.375
Se: 0.956 0.459 0.795

Computed properties:
Formation energy from raw total energies = -1.724 eV per atom


The following is a PBEsol calculation of a relaxed structure of Sc5Se, from Alexandria via LeMat-Bulk.

abc: 5.520 5.520 7.692
angles: 100.95 100.95 35.65
Fractional coordinates of all 6 atoms:
Sc: 0.000 0.000 0.000
Sc: 0.053 0.053 0.417
Sc: 0.300 0.300 0.173
Sc: 0.403 0.403 0.669
Sc: 0.692 0.692 0.794
Se: 0.763 0.763 0.441

Computed properties:
Formation energy from raw total energies = -0.458 eV per atom


The following is a PBEsol calculation of a relaxed structure of Sc2Se3, from Alexandria via LeMat-Bulk.

abc: 6.576 6.576 6.539
angles: 99.75 99.75 119.42
Fractional coordinates of all 10 atoms:
Sc: 0.086 0.914 0.750
Sc: 0.252 0.748 0.250
Sc: 0.748 0.252 0.750
Sc: 0.914 0.086 0.250
Se: 0.000 0.500 0.500
Se: 0.159 0.328 0.000
Se: 0.328 0.159 0.500
Se: 0.500 0.000 0.000
Se: 0.672 0.841 0.500
Se: 0.841 0.672 0.000

Computed properties:
Formation energy from raw total energies = -1.692 eV per atom


The following is a PBEsol calculation of a relaxed structure of Sc3Se5, from Alexandria via LeMat-Bulk.

abc: 5.600 5.600 5.009
angles: 90.00 90.00 101.01
Fractional coordinates of all 8 atoms:
Sc: 0.000 0.000 0.000
Sc: 0.295 0.705 0.500
Sc: 0.705 0.295 0.500
Se: 0.000 0.500 0.000
Se: 0.203 0.203 0.500
Se: 0.500 0.000 0.000
Se: 0.500 0.500 0.000
Se: 0.797 0.797 0.500

Computed properties:
Formation energy from raw total energies = -1.147 eV per atom


The following is a PBEsol calculation of a relaxed structure of ScSe, from Alexandria via LeMat-Bulk.

abc: 3.816 3.816 3.816
angles: 60.00 60.00 60.00
Fractional coordinates of all 2 atoms:
Sc: 0.000 0.000 0.000
Se: 0.500 0.500 0.500

Computed properties:
Formation energy from raw total energies = -1.670 eV per atom


Number 1: final energy -6.5472 eV per atom. Number 2: final energy -6.4930 eV per atom. Number 3: final energy -6.5590 eV per atom. Number 4: final energy -6.6051 eV per atom. Number 5: final energy -6.6070 eV per atom. Number 6: final energy -6.6487 eV per atom. Number 7: final energy -6.8016 eV per atom. Number 8: final energy -6.6112 eV per atom. Number 9: final energy -6.6763 eV per atom. Number 10: final energy -6.6040 eV per atom. Number 11: final energy -6.6440 eV per atom. Number 12: final energy -6.0306 eV per atom. Number 13: final energy -6.8978 eV per atom.